# MgZn2Fe (PBE-GGA, optimized geometry)
# E_form = 2.01 kcal/mol of atoms
# final energy = -0.2252 Ry per atom
data_MgZn2Fe
_chemical_formula_sum 'Mg2 Zn4 Fe2'
_symmetry_space_group_name_H-M 'C 1 2/m 1'
_symmetry_Int_Tables_number 12
_cell_length_a 8.940
_cell_length_b 2.750
_cell_length_c 4.943
_cell_angle_alpha 90.00
_cell_angle_beta 99.83
_cell_angle_gamma 90.00
loop_
_symmetry_equiv_pos_as_xyz
'x,y,z'
'-x,-y,-z'
'-x,y,-z'
'x,-y,z'
'x+1/2,y+1/2,z'
'-x+1/2,-y+1/2,-z'
'-x+1/2,y+1/2,-z'
'x+1/2,-y+1/2,z'
loop_
_atom_site_label
_atom_site_fract_x
_atom_site_fract_y
_atom_site_fract_z
Mg1 0.000 0.000 0.000
Zn1 0.241 0.000 0.722
Fe1 0.000 0.500 0.500



# MgZn2Fe (PBE-GGA, optimized geometry)
# E_form = 2.12 kcal/mol of atoms
# final energy = -0.2248 Ry per atom
data_MgZn2Fe
_chemical_formula_sum 'Mg1 Zn2 Fe1'
_symmetry_space_group_name_H-M 'P 1 2/m 1'
_symmetry_Int_Tables_number 10
_cell_length_a 4.764
_cell_length_b 2.748
_cell_length_c 4.856
_cell_angle_alpha 90.00
_cell_angle_beta 111.92
_cell_angle_gamma 90.00
loop_
_symmetry_equiv_pos_as_xyz
'x,y,z'
'-x,-y,-z'
'-x,y,-z'
'x,-y,z'
loop_
_atom_site_label
_atom_site_fract_x
_atom_site_fract_y
_atom_site_fract_z
Mg1 0.000 0.000 0.000
Zn1 0.500 0.000 0.500
Zn2 0.500 0.500 0.000
Fe1 0.000 0.500 0.500



# Mg2ZnFe (PBE-GGA, optimized geometry)
# E_form = 2.35 kcal/mol of atoms
# final energy = -0.2300 Ry per atom
data_Mg2ZnFe
_chemical_formula_sum 'Mg2 Zn1 Fe1'
_symmetry_space_group_name_H-M 'P 4 m m'
_symmetry_Int_Tables_number 99
_cell_length_a 2.977
_cell_length_b 2.977
_cell_length_c 7.609
_cell_angle_alpha 90.00
_cell_angle_beta 90.00
_cell_angle_gamma 90.00
loop_
_symmetry_equiv_pos_as_xyz
'x,y,z'
'-y,x,z'
'-x,-y,z'
'y,-x,z'
'-x,y,z'
'y,x,z'
'x,-y,z'
'-y,-x,z'
loop_
_atom_site_label
_atom_site_fract_x
_atom_site_fract_y
_atom_site_fract_z
Mg1 0.000 0.000 0.000
Mg2 0.500 0.500 0.319
Zn1 0.000 0.000 0.571
Fe1 0.500 0.500 0.765